Record 1
Compound: Mg5Cd
Source: Alexandria
Functional: SCAN
Structure: PBEsol geometry

Results
Total energy = -9.276 eV/atom
Size of the total moment = 0.000 μB/atom
Formation energy from the elements = -61.7 meV per atom
Symmetry = Cm (8)

abc: 3.1891 5.9720 7.4010
angles: 104.92 90.00 105.49
Positions (direct):
Mg 0.3908 0.7817 0.2725
Mg 0.6678 0.3356 0.3321
Mg 0.0560 0.1121 0.6096
Mg 0.3371 0.6742 0.6753
Mg 0.7167 0.4333 0.9443
Cd 0.9982 0.9965 0.9996


Record 2
Compound: MgCd7
Source: Alexandria
Functional: SCAN
Structure: PBEsol geometry

Results
Total energy = -27.266 eV/atom
Size of the total moment = 0.000 μB/atom
Formation energy from the elements = -31.6 meV per atom
Symmetry = Fm-3m (225)

abc: 6.1961 6.1961 6.1961
angles: 60.00 60.00 60.00
Positions (direct):
Cd 0.5000 0.0000 0.0000
Cd 0.5000 0.5000 0.0000
Cd 0.0000 0.5000 0.0000
Cd 0.5000 0.0000 0.5000
Cd 0.0000 0.0000 0.5000
Cd 0.0000 0.5000 0.5000
Cd 0.5000 0.5000 0.5000
Mg 0.0000 0.0000 0.0000


Q: Which formula does entry 1 have?
A: Mg5Cd


Q: The highest formation energy from the elements belongs to which entry?
A: MgCd7